1.
Computed, not measured: a relaxed structure of CoPt2Cl at the PBEsol level of DFT.

Cell lengths 2.7802, 2.7802, 7.5737 Å; angles 90.00, 90.00, 90.00 degrees
With the nearest neighbours (Å) after each atom.
Fractional positions:
Co 0.0000 0.0000 0.0000  8 Pt 2.58, 4 Co 2.78
Pt 0.5000 0.5000 0.2215  4 Co 2.58, 4 Pt 2.78, 4 Cl 2.88
Pt 0.5000 0.5000 0.7785  4 Co 2.58, 4 Pt 2.78, 4 Cl 2.88
Cl 0.0000 0.0000 0.5000  4 Cl 2.78, 8 Pt 2.88

Calculated values
D(E_F)	1.133	states/eV per atom
theoretical density	13.74	Mg/m³
raw formation energy	0.32	eV per atom


2.
Computed, not measured: a relaxed structure of Co2PtCl at the PBEsol level of DFT.

Cell lengths 4.9378, 4.9378, 4.9378 Å; angles 147.67, 124.62, 65.60 degrees
With the nearest neighbours (Å) after each atom.
Fractional positions:
Co 0.2298 0.2298 0.0000  2 Cl 2.35, 2 Pt 2.63
Co 0.7702 0.7702 0.0000  2 Cl 2.35, 2 Pt 2.63
Pt 0.5000 0.0000 0.5000  4 Co 2.63, 4 Cl 2.67, 2 Pt 2.75
Cl 0.0000 0.5000 0.5000  4 Co 2.35

Calculated values
D(E_F)	1.428	states/eV per atom
distance to the lowest polymorph of the same formula	1.40	eV per formula unit
theoretical density	11.05	Mg/m³
raw formation energy	0.62	eV per atom


3.
Computed, not measured: a relaxed structure of CoPt2Cl at the PBEsol level of DFT.

Cell lengths 2.8033, 2.8139, 7.5632 Å; angles 90.00, 90.00, 90.00 degrees
With the nearest neighbours (Å) after each atom.
Fractional positions:
Co 0.0000 0.0000 0.0000  2 Cl 2.25
Pt 0.0000 0.0000 0.4696  2 Cl 2.66, 8 Pt 2.77-2.81
Pt 0.5000 0.5000 0.2137  4 Co 2.56, 8 Pt 2.77-2.81
Cl 0.5000 0.0000 0.7681  2 Co 2.25

Calculated values
D(E_F)	1.215	states/eV per atom
theoretical density	13.49	Mg/m³
raw formation energy	0.17	eV per atom


4.
Computed, not measured: a relaxed structure of Co2PtCl at the PBEsol level of DFT.

Cell lengths 4.5874, 4.5874, 4.5874 Å; angles 131.19, 131.19, 71.51 degrees
With the nearest neighbours (Å) after each atom.
Fractional positions:
Co 0.0000 0.0000 0.0000  4 Cl 2.66, 4 Co 2.66, 4 Pt 2.68
Co 0.7500 0.2500 0.5000  4 Pt 2.66, 4 Co 2.66, 4 Cl 2.68
Pt 0.5000 0.5000 0.0000  4 Cl 2.66, 8 Co 2.66-2.68
Cl 0.2500 0.7500 0.5000  4 Pt 2.66, 8 Co 2.66-2.68

Calculated values
D(E_F)	1.137	states/eV per atom
distance to the lowest polymorph of the same formula	1.65	eV per formula unit
theoretical density	10.81	Mg/m³
raw formation energy	0.68	eV per atom